i | A relaxed structure of BeAs. Source: Alexandria, functional GGA-PBE.

a = 2.830 Å, b = 2.830 Å, c = 8.831 Å
α = 90.00°, β = 90.00°, γ = 120.00°
Atoms (fractional coordinates):
Be (0.333, 0.667, 0.095)
Be (0.667, 0.333, 0.905)
As (0.333, 0.667, 0.693)
As (0.667, 0.333, 0.307)

Results
total magnetization: 0.0 Bohr magnetons per cell
SG: P-3m1, No. 164



ii | A relaxed structure of BeAs. Source: Alexandria, functional GGA-PBE.

a = 6.996 Å, b = 6.755 Å, c = 5.267 Å
α = 69.93°, β = 65.07°, γ = 45.00°
Atoms (fractional coordinates):
Be (0.040, 0.040, 0.710)
Be (0.290, 0.290, 0.960)
Be (0.710, 0.710, 0.040)
Be (0.960, 0.960, 0.290)
As (0.057, 0.693, 0.693)
As (0.307, 0.943, 0.943)
As (0.693, 0.057, 0.057)
As (0.943, 0.307, 0.307)

Results
total magnetization: 0.0 Bohr magnetons per cell
SG: Fddd, No. 70



iii | A relaxed structure of BeAs. Source: Alexandria, functional GGA-PBE.

a = 3.893 Å, b = 3.893 Å, c = 4.865 Å
α = 90.00°, β = 90.00°, γ = 120.02°
Atoms (fractional coordinates):
Be (0.095, 0.905, 0.750)
Be (0.905, 0.095, 0.250)
As (0.237, 0.763, 0.250)
As (0.763, 0.237, 0.750)

Results
total magnetization: 0.0 Bohr magnetons per cell
SG: Cmcm, No. 63



iii is favored, and the nearest alternative lies 82 meV/atom above it.



i | A relaxed structure of BeAs. Source: Alexandria, functional GGA-PBE.

a = 3.580 Å, b = 3.580 Å, c = 2.755 Å
α = 90.00°, β = 90.00°, γ = 120.00°
Atoms (fractional coordinates):
Be (0.000, 0.000, 0.000)
As (0.333, 0.667, 0.500)

Results
total magnetization: 0.0 Bohr magnetons per cell
SG: P-6m2, No. 187



ii | A relaxed structure of BeAs. Source: Alexandria, functional GGA-PBE.

a = 8.330 Å, b = 8.330 Å, c = 3.834 Å
α = 90.00°, β = 90.00°, γ = 120.00°
Atoms (fractional coordinates):
Be (0.151, 0.458, 0.250)
Be (0.307, 0.849, 0.250)
Be (0.458, 0.307, 0.750)
Be (0.542, 0.693, 0.250)
Be (0.693, 0.151, 0.750)
Be (0.849, 0.542, 0.750)
As (0.008, 0.646, 0.250)
As (0.354, 0.362, 0.250)
As (0.362, 0.008, 0.750)
As (0.638, 0.992, 0.250)
As (0.646, 0.638, 0.750)
As (0.992, 0.354, 0.750)

Results
total magnetization: 0.0 Bohr magnetons per cell
SG: P6_3/m, No. 176



iii | A relaxed structure of BeAs. Source: Alexandria, functional GGA-PBE.

a = 2.650 Å, b = 2.650 Å, c = 8.451 Å
α = 90.00°, β = 90.00°, γ = 90.00°
Atoms (fractional coordinates):
Be (0.250, 0.250, 0.083)
Be (0.750, 0.750, 0.917)
As (0.250, 0.250, 0.689)
As (0.750, 0.750, 0.311)

Results
total magnetization: 0.0 Bohr magnetons per cell
SG: P4/nmm, No. 129



iv | A relaxed structure of BeAs. Source: Alexandria, functional GGA-PBE.

a = 5.616 Å, b = 5.616 Å, c = 5.298 Å
α = 105.33°, β = 105.33°, γ = 37.79°
Atoms (fractional coordinates):
Be (0.000, 0.000, 0.000)
Be (0.546, 0.546, 0.782)
Be (0.710, 0.710, 0.562)
As (0.187, 0.187, 0.879)
As (0.337, 0.337, 0.504)
As (0.512, 0.512, 0.244)

Results
total magnetization: 0.0 Bohr magnetons per cell
SG: Cm, No. 8



iv is favored, and the nearest alternative lies 18 meV/atom above it.



i | A relaxed structure of BeAs. Source: Alexandria, functional GGA-PBE.

a = 2.942 Å, b = 2.942 Å, c = 3.245 Å
α = 90.00°, β = 90.00°, γ = 90.00°
Atoms (fractional coordinates):
Be (0.000, 0.000, 0.000)
As (0.500, 0.500, 0.500)

Results
total magnetization: 0.0 Bohr magnetons per cell
SG: P4/mmm, No. 123



ii | A relaxed structure of BeAs. Source: Alexandria, functional GGA-PBE.

a = 6.879 Å, b = 6.879 Å, c = 6.879 Å
α = 94.21°, β = 94.21°, γ = 148.55°
Atoms (fractional coordinates):
Be (0.099, 0.269, 0.368)
Be (0.269, 0.901, 0.171)
Be (0.731, 0.099, 0.829)
Be (0.901, 0.731, 0.632)
As (0.134, 0.688, 0.822)
As (0.312, 0.134, 0.446)
As (0.688, 0.866, 0.554)
As (0.866, 0.312, 0.178)

Results
total magnetization: 0.0 Bohr magnetons per cell
SG: I4/m, No. 87



iii | A relaxed structure of BeAs. Source: Alexandria, functional GGA-PBE.

a = 10.784 Å, b = 3.868 Å, c = 4.684 Å
α = 90.00°, β = 90.00°, γ = 90.00°
Atoms (fractional coordinates):
Be (0.000, 0.018, 0.000)
Be (0.195, 0.387, 0.331)
Be (0.305, 0.613, 0.831)
Be (0.500, 0.982, 0.500)
Be (0.695, 0.613, 0.831)
Be (0.805, 0.387, 0.331)
As (0.000, 0.537, 0.262)
As (0.190, 0.118, 0.809)
As (0.310, 0.882, 0.309)
As (0.500, 0.463, 0.762)
As (0.690, 0.882, 0.309)
As (0.810, 0.118, 0.809)

Results
total magnetization: 0.0 Bohr magnetons per cell
SG: Pmn2_1, No. 31



iv | A relaxed structure of BeAs. Source: Alexandria, functional GGA-PBE.

a = 3.367 Å, b = 3.367 Å, c = 6.752 Å
α = 90.00°, β = 90.00°, γ = 120.00°
Atoms (fractional coordinates):
Be (0.333, 0.667, 0.000)
Be (0.667, 0.333, 0.500)
As (0.333, 0.667, 0.674)
As (0.667, 0.333, 0.174)

Results
total magnetization: 0.0 Bohr magnetons per cell
SG: P6_3mc, No. 186



iii is favored, and the nearest alternative lies 13 meV/atom above it.



i | A relaxed structure of BeAs. Source: Alexandria, functional GGA-PBE.

a = 3.152 Å, b = 3.152 Å, c = 7.395 Å
α = 90.00°, β = 90.00°, γ = 104.10°
Atoms (fractional coordinates):
Be (0.250, 0.750, 0.924)
Be (0.750, 0.250, 0.076)
As (0.250, 0.750, 0.238)
As (0.750, 0.250, 0.762)

Results
total magnetization: 0.0 Bohr magnetons per cell
SG: Cmme, No. 67



ii | A relaxed structure of BeAs. Source: Alexandria, functional GGA-PBE.

a = 6.145 Å, b = 6.145 Å, c = 6.145 Å
α = 36.33°, β = 36.33°, γ = 36.33°
Atoms (fractional coordinates):
Be (0.085, 0.085, 0.085)
Be (0.915, 0.915, 0.915)
As (0.425, 0.425, 0.425)
As (0.575, 0.575, 0.575)

Results
total magnetization: 0.0 Bohr magnetons per cell
SG: R-3m, No. 166



iii | A relaxed structure of BeAs. Source: Alexandria, functional GGA-PBE.

a = 6.360 Å, b = 6.360 Å, c = 6.360 Å
α = 90.00°, β = 90.00°, γ = 90.00°
Atoms (fractional coordinates):
Be (0.000, 0.250, 0.500)
Be (0.000, 0.750, 0.500)
Be (0.250, 0.500, 0.000)
Be (0.500, 0.000, 0.250)
Be (0.500, 0.000, 0.750)
Be (0.750, 0.500, 0.000)
As (0.000, 0.500, 0.250)
As (0.000, 0.500, 0.750)
As (0.250, 0.000, 0.500)
As (0.500, 0.250, 0.000)
As (0.500, 0.750, 0.000)
As (0.750, 0.000, 0.500)

Results
total magnetization: 0.0 Bohr magnetons per cell
SG: Pm-3n, No. 223



iv | A relaxed structure of BeAs. Source: Alexandria, functional GGA-PBE.

a = 7.830 Å, b = 7.830 Å, c = 2.726 Å
α = 90.00°, β = 90.00°, γ = 154.02°
Atoms (fractional coordinates):
Be (0.210, 0.790, 0.750)
Be (0.790, 0.210, 0.250)
As (0.363, 0.637, 0.750)
As (0.637, 0.363, 0.250)

Results
total magnetization: 0.0 Bohr magnetons per cell
SG: Cmcm, No. 63



ii is favored, and the nearest alternative lies 18 meV/atom above it.



i | A relaxed structure of BeAs. Source: Alexandria, functional GGA-PBE.

a = 3.666 Å, b = 3.666 Å, c = 3.666 Å
α = 60.00°, β = 60.00°, γ = 60.00°
Atoms (fractional coordinates):
Be (0.000, 0.000, 0.000)
As (0.750, 0.750, 0.750)

Results
total magnetization: 0.0 Bohr magnetons per cell
SG: F-43m, No. 216



ii | A relaxed structure of BeAs. Source: Alexandria, functional GGA-PBE.

a = 3.928 Å, b = 3.928 Å, c = 5.547 Å
α = 106.50°, β = 106.50°, γ = 50.79°
Atoms (fractional coordinates):
Be (0.114, 0.114, 0.414)
Be (0.886, 0.886, 0.586)
As (0.364, 0.364, 0.246)
As (0.636, 0.636, 0.754)

Results
total magnetization: 0.0 Bohr magnetons per cell
SG: C2/m, No. 12



iii | A relaxed structure of BeAs. Source: Alexandria, functional GGA-PBE.

a = 4.878 Å, b = 4.878 Å, c = 3.551 Å
α = 90.00°, β = 90.00°, γ = 139.00°
Atoms (fractional coordinates):
Be (0.086, 0.914, 0.750)
Be (0.914, 0.086, 0.250)
As (0.360, 0.640, 0.750)
As (0.640, 0.360, 0.250)

Results
total magnetization: 0.0 Bohr magnetons per cell
SG: Cmcm, No. 63



ii is favored, and the nearest alternative lies 73 meV/atom above it.



i | A relaxed structure of BeAs. Source: Alexandria, functional GGA-PBE.

a = 5.943 Å, b = 5.943 Å, c = 3.978 Å
α = 90.00°, β = 90.00°, γ = 90.00°
Atoms (fractional coordinates):
Be (0.231, 0.231, 0.000)
Be (0.269, 0.731, 0.500)
Be (0.731, 0.269, 0.500)
Be (0.769, 0.769, 0.000)
As (0.152, 0.848, 0.000)
As (0.348, 0.348, 0.500)
As (0.652, 0.652, 0.500)
As (0.848, 0.152, 0.000)

Results
total magnetization: 0.0 Bohr magnetons per cell
SG: P4_2/mnm, No. 136



ii | A relaxed structure of BeAs. Source: Alexandria, functional GGA-PBE.

a = 9.970 Å, b = 9.970 Å, c = 3.736 Å
α = 90.00°, β = 90.00°, γ = 90.00°
Atoms (fractional coordinates):
Be (0.072, 0.593, 0.000)
Be (0.262, 0.372, 0.500)
Be (0.372, 0.738, 0.500)
Be (0.407, 0.072, 0.000)
Be (0.593, 0.928, 0.000)
Be (0.628, 0.262, 0.500)
Be (0.738, 0.628, 0.500)
Be (0.928, 0.407, 0.000)
As (0.145, 0.364, 0.000)
As (0.194, 0.605, 0.500)
As (0.364, 0.855, 0.000)
As (0.395, 0.194, 0.500)
As (0.605, 0.806, 0.500)
As (0.636, 0.145, 0.000)
As (0.806, 0.395, 0.500)
As (0.855, 0.636, 0.000)

Results
total magnetization: 0.0 Bohr magnetons per cell
SG: P4/m, No. 83



iii | A relaxed structure of BeAs. Source: Alexandria, functional GGA-PBE.

a = 6.025 Å, b = 6.025 Å, c = 6.025 Å
α = 109.47°, β = 109.47°, γ = 109.47°
Atoms (fractional coordinates):
Be (0.000, 0.000, 0.723)
Be (0.000, 0.723, 0.000)
Be (0.277, 0.277, 0.277)
Be (0.723, 0.000, 0.000)
As (0.000, 0.000, 0.364)
As (0.000, 0.364, 0.000)
As (0.364, 0.000, 0.000)
As (0.636, 0.636, 0.636)

Results
total magnetization: 0.0 Bohr magnetons per cell
SG: I-43m, No. 217



i is favored, and the nearest alternative lies 155 meV/atom above it.



i | A relaxed structure of BeAs. Source: Alexandria, functional GGA-PBE.

a = 5.852 Å, b = 5.852 Å, c = 5.852 Å
α = 148.66°, β = 145.19°, γ = 47.53°
Atoms (fractional coordinates):
Be (0.316, 0.066, 0.250)
Be (0.684, 0.934, 0.750)
As (0.116, 0.366, 0.750)
As (0.884, 0.634, 0.250)

Results
total magnetization: 0.0 Bohr magnetons per cell
SG: Imma, No. 74



ii | A relaxed structure of BeAs. Source: Alexandria, functional GGA-PBE.

a = 4.335 Å, b = 4.335 Å, c = 4.335 Å
α = 65.55°, β = 65.55°, γ = 65.55°
Atoms (fractional coordinates):
Be (0.102, 0.102, 0.102)
Be (0.898, 0.898, 0.898)
As (0.320, 0.320, 0.320)
As (0.680, 0.680, 0.680)

Results
total magnetization: 0.0 Bohr magnetons per cell
SG: R-3m, No. 166



i is favored, and the nearest alternative lies 112 meV/atom above it.